First-principles (PBE-GGA) data for KUSe2Cl after structural relaxation, as listed in Alexandria via LeMat-Bulk.

## Properties
Size of the total moment   0.400 μB/atom
Crystal system   monoclinic
Energy relative to the elements, uncorrected   -1.44 eV/atom

Structure (extended XYZ):
```
10
Lattice="8.943 0.000 0.000 0.000 4.168 0.000 -2.235 0.000 8.838" Properties=species:S:1:pos:R:3 pbc="T T T"
K 1.446 1.042 2.843
K 5.262 3.126 5.995
U 1.144 1.042 7.328
U 5.564 3.126 1.510
Se 2.910 3.126 0.406
Se 1.805 3.126 5.586
Se 4.903 1.042 3.252
Se 3.798 1.042 8.431
Cl -1.397 1.042 6.659
Cl 8.105 3.126 2.179
```



First-principles (PBE-GGA) data for K2YSeCl after structural relaxation, as listed in Alexandria via LeMat-Bulk.

## Properties
Size of the total moment   0.000 μB/atom
Offset from the most stable computed form   0 meV/atom
Crystal system   tetragonal
Energy relative to the elements, uncorrected   -0.61 eV/atom

Structure (extended XYZ):
```
5
Lattice="7.470 0.000 0.000 0.000 7.470 0.000 0.000 0.000 5.246" Properties=species:S:1:pos:R:3 pbc="T T T"
K 0.000 3.735 0.000
K 3.735 0.000 0.000
Y 0.000 0.000 0.000
Se 0.000 0.000 2.623
Cl 3.735 3.735 2.623
```



First-principles (PBE-GGA) data for KYSeCl2 after structural relaxation, as listed in Alexandria via LeMat-Bulk.

## Properties
Size of the total moment   0.000 μB/atom
Crystal system   tetragonal
Energy relative to the elements, uncorrected   -1.92 eV/atom

Structure (extended XYZ):
```
5
Lattice="5.363 0.000 0.000 0.000 5.363 0.000 0.000 0.000 5.523" Properties=species:S:1:pos:R:3 pbc="T T T"
K 0.000 0.000 0.000
Y 2.681 2.681 2.762
Se 2.681 2.681 0.000
Cl 0.000 2.681 2.762
Cl 2.681 0.000 2.762
```



First-principles (PBE-GGA) data for K2YSeCl after structural relaxation, as listed in Alexandria via LeMat-Bulk.

## Properties
Size of the total moment   0.230 μB/atom
Offset from the most stable computed form   653 meV/atom
Crystal system   tetragonal
Energy relative to the elements, uncorrected   0.04 eV/atom

Structure (extended XYZ):
```
5
Lattice="6.268 0.000 0.000 0.000 6.268 0.000 0.000 0.000 5.603" Properties=species:S:1:pos:R:3 pbc="T T T"
K 0.000 3.134 0.000
K 3.134 0.000 0.000
Y 0.000 0.000 2.802
Se 3.134 3.134 0.000
Cl 3.134 3.134 2.802
```



First-principles (PBE-GGA) data for KSiCl after structural relaxation, as listed in Alexandria via LeMat-Bulk.

## Properties
Size of the total moment   0.000 μB/atom
Offset from the most stable computed form   1000 meV/atom
Crystal system   trigonal
Energy relative to the elements, uncorrected   0.02 eV/atom

Structure (extended XYZ):
```
3
Lattice="3.704 0.000 0.000 -1.852 3.207 0.000 0.000 0.000 7.159" Properties=species:S:1:pos:R:3 pbc="T T T"
K 0.000 0.000 0.000
Si 1.852 1.069 2.974
Cl 0.000 2.138 5.058
```



First-principles (PBE-GGA) data for KSiCl2 after structural relaxation, as listed in Alexandria via LeMat-Bulk.

## Properties
Size of the total moment   0.000 μB/atom
Offset from the most stable computed form   179 meV/atom
Crystal system   monoclinic
Energy relative to the elements, uncorrected   -0.66 eV/atom

Structure (extended XYZ):
```
4
Lattice="4.257 -1.764 0.000 4.257 1.764 0.000 -0.133 0.000 7.248" Properties=species:S:1:pos:R:3 pbc="T T T"
K 0.000 0.000 0.000
Si 4.190 0.000 3.624
Cl 2.388 0.000 5.349
Cl 5.992 0.000 1.898
```



First-principles (PBE-GGA) data for KSiCl2 after structural relaxation, as listed in Alexandria via LeMat-Bulk.

## Properties
Size of the total moment   0.001 μB/atom
Offset from the most stable computed form   84 meV/atom
Crystal system   orthorhombic
Energy relative to the elements, uncorrected   -0.76 eV/atom

Structure (extended XYZ):
```
4
Lattice="3.647 0.000 0.000 0.000 3.895 0.000 0.000 0.000 7.326" Properties=species:S:1:pos:R:3 pbc="T T T"
K 0.000 0.000 0.000
Si 1.824 0.000 3.663
Cl 1.824 1.947 1.817
Cl 1.824 1.947 5.509
```



First-principles (PBE-GGA) data for KSiCl2 after structural relaxation, as listed in Alexandria via LeMat-Bulk.

## Properties
Size of the total moment   0.000 μB/atom
Offset from the most stable computed form   0 meV/atom
Crystal system   monoclinic
Energy relative to the elements, uncorrected   -0.84 eV/atom

Structure (extended XYZ):
```
4
Lattice="3.643 0.000 0.000 0.000 5.311 0.000 -0.007 0.000 5.467" Properties=species:S:1:pos:R:3 pbc="T T T"
K 0.000 0.000 0.000
Si 1.821 2.655 2.741
Cl 1.818 0.000 2.783
Cl 1.820 2.655 0.451
```